w:
Here is crystalline Mg5Hg4 at its relaxed geometry from Alexandria via LeMat-Bulk. Energies are from GGA-PBE.

Structure (CIF):
```
data_Mg5Hg4
_chemical_formula_sum 'Mg10 Hg8'
_cell_length_a 9.8169
_cell_length_b 9.8169
_cell_length_c 4.0958
_cell_angle_alpha 90.00
_cell_angle_beta 90.00
_cell_angle_gamma 90.00
_space_group_name_H-M_alt 'I 4/m m m'
_space_group_IT_number 139
_space_group_name_Hall '-I 4 2'
loop_
_atom_site_label
_atom_site_fract_x
_atom_site_fract_y
_atom_site_fract_z
_atom_site_occupancy
Mg1 0.0000 0.0000 0.0000 1
Mg2 0.0000 0.3264 0.0000 1
Hg1 0.1651 0.1651 0.5000 1
```

=====

x:
Here is crystalline Mg5Hg4 at its relaxed geometry from Alexandria via LeMat-Bulk. Energies are from GGA-PBE.

Structure (CIF):
```
data_Mg5Hg4
_chemical_formula_sum 'Mg10 Hg8'
_cell_length_a 8.5508
_cell_length_b 8.5508
_cell_length_c 6.2108
_cell_angle_alpha 90.00
_cell_angle_beta 90.00
_cell_angle_gamma 120.00
_space_group_name_H-M_alt 'P 63/m c m'
_space_group_IT_number 193
_space_group_name_Hall '-P 6c 2'
loop_
_atom_site_label
_atom_site_fract_x
_atom_site_fract_y
_atom_site_fract_z
_atom_site_occupancy
Mg1 0.0000 0.2944 0.2500 1
Mg2 0.3333 0.6667 0.0000 1
Hg1 0.0000 0.0000 0.0000 1
Hg2 0.0000 0.3753 0.7500 1
```

=====

Stability ranking, top entry: x; the second entry is 7.0 kJ/mol of atoms less favorable.

=====

w:
Here is crystalline Mg3Hg2 at its relaxed geometry from Alexandria via LeMat-Bulk. Energies are from GGA-PBE.

Structure (CIF):
```
data_Mg3Hg2
_chemical_formula_sum 'Mg3 Hg2'
_cell_length_a 4.7860
_cell_length_b 4.7860
_cell_length_c 5.8500
_cell_angle_alpha 90.00
_cell_angle_beta 90.00
_cell_angle_gamma 120.00
_space_group_name_H-M_alt 'P -3 m 1'
_space_group_IT_number 164
_space_group_name_Hall '-P 3 2"'
loop_
_atom_site_label
_atom_site_fract_x
_atom_site_fract_y
_atom_site_fract_z
_atom_site_occupancy
Mg1 0.0000 0.0000 0.0000 1
Mg2 0.3333 0.6667 0.3377 1
Hg1 0.3333 0.6667 0.8224 1
```

=====

x:
Here is crystalline Mg3Hg2 at its relaxed geometry from Alexandria via LeMat-Bulk. Energies are from GGA-PBE.

Structure (CIF):
```
data_Mg3Hg2
_chemical_formula_sum 'Mg9 Hg6'
_cell_length_a 3.4638
_cell_length_b 3.4638
_cell_length_c 33.4669
_cell_angle_alpha 90.00
_cell_angle_beta 90.00
_cell_angle_gamma 120.00
_space_group_name_H-M_alt 'R -3 m'
_space_group_IT_number 166
_space_group_name_Hall '-R 3 2"'
loop_
_atom_site_label
_atom_site_fract_x
_atom_site_fract_y
_atom_site_fract_z
_atom_site_occupancy
Mg1 0.0000 0.0000 0.0000 1
Mg2 0.0000 0.0000 0.2039 1
Hg1 0.0000 0.0000 0.3984 1
```

=====

y:
Here is crystalline Mg3Hg2 at its relaxed geometry from Alexandria via LeMat-Bulk. Energies are from GGA-PBE.

Structure (CIF):
```
data_Mg3Hg2
_chemical_formula_sum 'Mg24 Hg16'
_cell_length_a 9.5997
_cell_length_b 26.9837
_cell_length_c 3.4520
_cell_angle_alpha 90.00
_cell_angle_beta 90.00
_cell_angle_gamma 90.00
_space_group_name_H-M_alt 'F d d 2'
_space_group_IT_number 43
_space_group_name_Hall 'F 2 -2d'
loop_
_atom_site_label
_atom_site_fract_x
_atom_site_fract_y
_atom_site_fract_z
_atom_site_occupancy
Mg1 0.0000 0.0000 0.0000 1
Mg2 0.0752 0.4063 0.0025 1
Hg1 0.0439 0.3026 0.7507 1
```

=====

Stability ranking, top entry: w; the second entry is 1.8 kJ/mol of atoms less favorable.

=====

w:
Here is crystalline Mg2MnHg at its relaxed geometry from Alexandria via LeMat-Bulk. Energies are from GGA-PBE.

Structure (CIF):
```
data_Mg2MnHg
_chemical_formula_sum 'Mg8 Mn4 Hg4'
_cell_length_a 6.5133
_cell_length_b 6.5133
_cell_length_c 6.5133
_cell_angle_alpha 90.00
_cell_angle_beta 90.00
_cell_angle_gamma 90.00
_space_group_name_H-M_alt 'F m -3 m'
_space_group_IT_number 225
_space_group_name_Hall '-F 4 2 3'
loop_
_atom_site_label
_atom_site_fract_x
_atom_site_fract_y
_atom_site_fract_z
_atom_site_occupancy
Mg1 0.2500 0.2500 0.2500 1
Mn1 0.0000 0.0000 0.0000 1
Hg1 0.0000 0.0000 0.5000 1
```

=====

x:
Here is crystalline Mg2MnHg at its relaxed geometry from Alexandria via LeMat-Bulk. Energies are from GGA-PBE.

Structure (CIF):
```
data_Mg2MnHg
_chemical_formula_sum 'Mg2 Mn1 Hg1'
_cell_length_a 3.3782
_cell_length_b 3.3782
_cell_length_c 6.6967
_cell_angle_alpha 90.00
_cell_angle_beta 90.00
_cell_angle_gamma 90.00
_space_group_name_H-M_alt 'P 4/m m m'
_space_group_IT_number 123
_space_group_name_Hall '-P 4 2'
loop_
_atom_site_label
_atom_site_fract_x
_atom_site_fract_y
_atom_site_fract_z
_atom_site_occupancy
Mg1 0.0000 0.0000 0.2314 1
Mn1 0.5000 0.5000 0.0000 1
Hg1 0.5000 0.5000 0.5000 1
```

=====

y:
Here is crystalline Mg2MnHg at its relaxed geometry from Alexandria via LeMat-Bulk. Energies are from GGA-PBE.

Structure (CIF):
```
data_Mg2MnHg
_chemical_formula_sum 'Mg2 Mn1 Hg1'
_cell_length_a 3.3597
_cell_length_b 3.6150
_cell_length_c 6.4454
_cell_angle_alpha 90.00
_cell_angle_beta 90.00
_cell_angle_gamma 90.00
_space_group_name_H-M_alt 'P m m 2'
_space_group_IT_number 25
loop_
_space_group_symop_operation_xyz
'x,y,z'
'-x,-y,z'
'-x,y,z'
'x,-y,z'
loop_
_atom_site_label
_atom_site_fract_x
_atom_site_fract_y
_atom_site_fract_z
_atom_site_occupancy
Mg1 0.0000 0.0000 0.0000 1
Mg2 0.5000 0.5000 0.2836 1
Mn1 0.0000 0.0000 0.5100 1
Hg1 0.5000 0.5000 0.7463 1
```

=====

z:
Here is crystalline Mg2MnHg at its relaxed geometry from Alexandria via LeMat-Bulk. Energies are from GGA-PBE.

Structure (CIF):
```
data_Mg2MnHg
_chemical_formula_sum 'Mg8 Mn4 Hg4'
_cell_length_a 7.7133
_cell_length_b 7.7133
_cell_length_c 5.7137
_cell_angle_alpha 90.00
_cell_angle_beta 90.00
_cell_angle_gamma 90.00
_space_group_name_H-M_alt 'I -4 2 d'
_space_group_IT_number 122
_space_group_name_Hall 'I -4 2bw'
loop_
_atom_site_label
_atom_site_fract_x
_atom_site_fract_y
_atom_site_fract_z
_atom_site_occupancy
Mg1 0.2473 0.2500 0.1250 1
Mn1 0.0000 0.0000 0.5000 1
Hg1 0.0000 0.0000 0.0000 1
```

=====

Stability ranking, top entry: x; the second entry is 3.8 kJ/mol of atoms less favorable.

=====

w:
Here is crystalline Mg2MnHg at its relaxed geometry from Alexandria via LeMat-Bulk. Energies are from GGA-PBE.

Structure (CIF):
```
data_Mg2MnHg
_chemical_formula_sum 'Mg8 Mn4 Hg4'
_cell_length_a 6.7141
_cell_length_b 6.7141
_cell_length_c 6.7141
_cell_angle_alpha 90.00
_cell_angle_beta 90.00
_cell_angle_gamma 90.00
_space_group_name_H-M_alt 'F -4 3 m'
_space_group_IT_number 216
_space_group_name_Hall 'F -4 2 3'
loop_
_atom_site_label
_atom_site_fract_x
_atom_site_fract_y
_atom_site_fract_z
_atom_site_occupancy
Mg1 0.0000 0.0000 0.0000 1
Mg2 0.2500 0.2500 0.2500 1
Mn1 0.2500 0.2500 0.7500 1
Hg1 0.0000 0.0000 0.5000 1
```

=====

x:
Here is crystalline Mg2MnHg at its relaxed geometry from Alexandria via LeMat-Bulk. Energies are from GGA-PBE.

Structure (CIF):
```
data_Mg2MnHg
_chemical_formula_sum 'Mg2 Mn1 Hg1'
_cell_length_a 4.5252
_cell_length_b 4.5252
_cell_length_c 3.7246
_cell_angle_alpha 90.00
_cell_angle_beta 90.00
_cell_angle_gamma 90.00
_space_group_name_H-M_alt 'P 4/m m m'
_space_group_IT_number 123
_space_group_name_Hall '-P 4 2'
loop_
_atom_site_label
_atom_site_fract_x
_atom_site_fract_y
_atom_site_fract_z
_atom_site_occupancy
Mg1 0.0000 0.5000 0.0000 1
Mn1 0.0000 0.0000 0.5000 1
Hg1 0.5000 0.5000 0.5000 1
```

=====

y:
Here is crystalline Mg2MnHg at its relaxed geometry from Alexandria via LeMat-Bulk. Energies are from GGA-PBE.

Structure (CIF):
```
data_Mg2MnHg
_chemical_formula_sum 'Mg4 Mn2 Hg2'
_cell_length_a 4.2684
_cell_length_b 4.2684
_cell_length_c 8.3192
_cell_angle_alpha 90.00
_cell_angle_beta 90.00
_cell_angle_gamma 90.00
_space_group_name_H-M_alt 'I -4 m 2'
_space_group_IT_number 119
_space_group_name_Hall 'I -4 -2'
loop_
_atom_site_label
_atom_site_fract_x
_atom_site_fract_y
_atom_site_fract_z
_atom_site_occupancy
Mg1 0.0000 0.0000 0.0000 1
Mg2 0.0000 0.5000 0.2500 1
Mn1 0.0000 0.5000 0.7500 1
Hg1 0.0000 0.0000 0.5000 1
```

=====

Stability ranking, top entry: x; the second entry is 2.3 kJ/mol of atoms less favorable.

=====

w:
Here is crystalline MgMn2Hg at its relaxed geometry from Alexandria via LeMat-Bulk. Energies are from GGA-PBE.

Structure (CIF):
```
data_MgMn2Hg
_chemical_formula_sum 'Mg2 Mn4 Hg2'
_cell_length_a 9.5945
_cell_length_b 3.0153
_cell_length_c 4.9409
_cell_angle_alpha 90.00
_cell_angle_beta 103.03
_cell_angle_gamma 90.00
_space_group_name_H-M_alt 'C 1 m 1'
_space_group_IT_number 8
loop_
_space_group_symop_operation_xyz
'x,y,z'
'x,-y,z'
'x+1/2,y+1/2,z'
'x+1/2,-y+1/2,z'
loop_
_atom_site_label
_atom_site_fract_x
_atom_site_fract_y
_atom_site_fract_z
_atom_site_occupancy
Mg1 0.0000 0.0000 0.0000 1
Mn1 0.0100 0.5000 0.5249 1
Mn2 0.2452 0.0000 0.7476 1
Hg1 0.2576 0.5000 0.2646 1
```

=====

x:
Here is crystalline MgMn2Hg at its relaxed geometry from Alexandria via LeMat-Bulk. Energies are from GGA-PBE.

Structure (CIF):
```
data_MgMn2Hg
_chemical_formula_sum 'Mg2 Mn4 Hg2'
_cell_length_a 4.0596
_cell_length_b 4.0596
_cell_length_c 8.2670
_cell_angle_alpha 90.00
_cell_angle_beta 90.00
_cell_angle_gamma 90.00
_space_group_name_H-M_alt 'I 4/m m m'
_space_group_IT_number 139
_space_group_name_Hall '-I 4 2'
loop_
_atom_site_label
_atom_site_fract_x
_atom_site_fract_y
_atom_site_fract_z
_atom_site_occupancy
Mg1 0.0000 0.0000 0.0000 1
Mn1 0.0000 0.5000 0.2500 1
Hg1 0.0000 0.0000 0.5000 1
```

=====

y:
Here is crystalline MgMn2Hg at its relaxed geometry from Alexandria via LeMat-Bulk. Energies are from GGA-PBE.

Structure (CIF):
```
data_MgMn2Hg
_chemical_formula_sum 'Mg2 Mn4 Hg2'
_cell_length_a 9.5601
_cell_length_b 3.0047
_cell_length_c 5.0256
_cell_angle_alpha 90.00
_cell_angle_beta 100.85
_cell_angle_gamma 90.00
_space_group_name_H-M_alt 'C 1 2/m 1'
_space_group_IT_number 12
loop_
_space_group_symop_operation_xyz
'x,y,z'
'-x,-y,-z'
'-x,y,-z'
'x,-y,z'
'x+1/2,y+1/2,z'
'-x+1/2,-y+1/2,-z'
'-x+1/2,y+1/2,-z'
'x+1/2,-y+1/2,z'
loop_
_atom_site_label
_atom_site_fract_x
_atom_site_fract_y
_atom_site_fract_z
_atom_site_occupancy
Mg1 0.0000 0.0000 0.0000 1
Mn1 0.2486 0.0000 0.7600 1
Hg1 0.0000 0.5000 0.5000 1
```

=====

Stability ranking, top entry: x; the second entry is 4.6 kJ/mol of atoms less favorable.